Here is a relaxed structure of TaFeSi2 from OQMD. Energies are from PBE. Values from VASP.

Properties
crystal system: cubic

The structure in Quantum ESPRESSO input format:
```
&SYSTEM
  ibrav = 0, nat = 4, ntyp = 3
/
ATOMIC_SPECIES
Fe 55.84 Fe.upf
Si 28.09 Si.upf
Ta 180.95 Ta.upf
ATOMIC_POSITIONS angstrom
Fe 1.5077 1.5077 1.5077
Si 0.0000 0.0000 0.0000
Si 4.5230 4.5230 4.5230
Ta 3.0153 3.0153 3.0153
CELL_PARAMETERS angstrom
0.0000 3.0153 3.0153
3.0153 0.0000 3.0153
3.0153 3.0153 0.0000
```

Here is a relaxed structure of TaFeSiTc from OQMD. Energies are from PBE. Values from VASP.

Properties
excess energy over the best structure of this formula in the dataset: 0.0 meV/atom
crystal system: cubic

The structure in Quantum ESPRESSO input format:
```
&SYSTEM
  ibrav = 0, nat = 4, ntyp = 4
/
ATOMIC_SPECIES
Fe 55.84 Fe.upf
Si 28.09 Si.upf
Ta 180.95 Ta.upf
Tc 98.00 Tc.upf
ATOMIC_POSITIONS angstrom
Fe 4.5088 4.5088 4.5088
Si 0.0000 0.0000 0.0000
Ta 3.0059 3.0059 3.0059
Tc 1.5029 1.5029 1.5029
CELL_PARAMETERS angstrom
0.0000 3.0059 3.0059
3.0059 0.0000 3.0059
3.0059 3.0059 0.0000
```

Here is a relaxed structure of TaFeSiTc from OQMD. Energies are from PBE. Values from VASP.

Properties
excess energy over the best structure of this formula in the dataset: 456.2 meV/atom
crystal system: cubic

The structure in Quantum ESPRESSO input format:
```
&SYSTEM
  ibrav = 0, nat = 4, ntyp = 4
/
ATOMIC_SPECIES
Fe 55.84 Fe.upf
Si 28.09 Si.upf
Ta 180.95 Ta.upf
Tc 98.00 Tc.upf
ATOMIC_POSITIONS angstrom
Fe -6.5298 -3.9311 -2.2736
Si 0.0000 0.0000 0.0000
Ta -2.1766 -1.3104 -0.7579
Tc -4.3532 -2.6207 -1.5157
CELL_PARAMETERS angstrom
-1.4973 -3.2754 -2.4029
-3.3869 -2.3208 1.3736
-3.8222 0.3547 -2.0022
```

Here is a relaxed structure of YTaFeSi from OQMD. Energies are from PBE. Values from VASP.

Properties
excess energy over the best structure of this formula in the dataset: 0.0 meV/atom
crystal system: cubic

The structure in Quantum ESPRESSO input format:
```
&SYSTEM
  ibrav = 0, nat = 4, ntyp = 4
/
ATOMIC_SPECIES
Fe 55.84 Fe.upf
Si 28.09 Si.upf
Ta 180.95 Ta.upf
Y 88.91 Y.upf
ATOMIC_POSITIONS angstrom
Fe 4.8004 4.8004 4.8004
Si 0.0000 0.0000 0.0000
Ta 1.6001 1.6001 1.6001
Y 3.2003 3.2003 3.2003
CELL_PARAMETERS angstrom
0.0000 3.2003 3.2003
3.2003 0.0000 3.2003
3.2003 3.2003 0.0000
```

Here is a relaxed structure of Y2TaFeSi2 from OQMD. Energies are from PBE. Values from VASP.

Properties
crystal system: tetragonal

The structure in Quantum ESPRESSO input format:
```
&SYSTEM
  ibrav = 0, nat = 6, ntyp = 4
/
ATOMIC_SPECIES
Fe 55.84 Fe.upf
Si 28.09 Si.upf
Ta 180.95 Ta.upf
Y 88.91 Y.upf
ATOMIC_POSITIONS angstrom
Fe -0.8969 -1.4239 -2.2146
Si -2.2159 0.5692 -1.2153
Si -5.6765 -1.5998 1.5809
Ta 0.0000 0.0000 0.0000
Y -2.6932 -1.7676 0.4806
Y -5.1992 0.7370 -0.1150
CELL_PARAMETERS angstrom
-1.2723 0.9608 -3.5959
-0.5215 -3.8087 -0.8332
-6.9956 0.3933 2.5802
```

Here is a relaxed structure of TaZnFeSi from OQMD. Energies are from PBE. Values from VASP.

Properties
excess energy over the best structure of this formula in the dataset: 50.0 meV/atom
crystal system: cubic

The structure in Quantum ESPRESSO input format:
```
&SYSTEM
  ibrav = 0, nat = 4, ntyp = 4
/
ATOMIC_SPECIES
Fe 55.84 Fe.upf
Si 28.09 Si.upf
Ta 180.95 Ta.upf
Zn 65.41 Zn.upf
ATOMIC_POSITIONS angstrom
Fe 4.5371 4.5371 4.5371
Si 0.0000 0.0000 0.0000
Ta 1.5124 1.5124 1.5124
Zn 3.0247 3.0247 3.0247
CELL_PARAMETERS angstrom
0.0000 3.0247 3.0247
3.0247 0.0000 3.0247
3.0247 3.0247 0.0000
```

Here is a relaxed structure of TaZnFeSi from OQMD. Energies are from PBE. Values from VASP.

Properties
excess energy over the best structure of this formula in the dataset: 0.0 meV/atom
crystal system: cubic

The structure in Quantum ESPRESSO input format:
```
&SYSTEM
  ibrav = 0, nat = 4, ntyp = 4
/
ATOMIC_SPECIES
Fe 55.84 Fe.upf
Si 28.09 Si.upf
Ta 180.95 Ta.upf
Zn 65.41 Zn.upf
ATOMIC_POSITIONS angstrom
Fe 4.5136 4.5136 4.5136
Si 0.0000 0.0000 0.0000
Ta 3.0091 3.0091 3.0091
Zn 1.5045 1.5045 1.5045
CELL_PARAMETERS angstrom
0.0000 3.0091 3.0091
3.0091 0.0000 3.0091
3.0091 3.0091 0.0000
```

Here is a relaxed structure of Tb2Fe3Si5 from OQMD. Energies are from PBE. Values from VASP.

Properties
crystal system: tetragonal

The structure in Quantum ESPRESSO input format:
```
&SYSTEM
  ibrav = 0, nat = 40, ntyp = 3
/
ATOMIC_SPECIES
Fe 55.84 Fe.upf
Si 28.09 Si.upf
Tb 158.93 Tb.upf
ATOMIC_POSITIONS angstrom
Fe 3.9096 3.6769 0.0000
Fe 6.6873 3.9096 0.0000
Fe 3.6769 6.4546 0.0000
Fe 6.4546 6.6873 0.0000
Fe 5.1821 0.0000 1.3712
Fe 0.0000 5.1821 1.3712
Fe 1.5052 1.2725 2.7424
Fe 9.0917 1.5052 2.7424
Fe 1.2725 8.8590 2.7424
Fe 8.8590 9.0917 2.7424
Fe 5.1821 0.0000 4.1137
Fe 0.0000 5.1821 4.1137
Si 5.4059 1.8644 0.0000
Si 1.8644 4.9584 0.0000
Si 8.4998 5.4059 0.0000
Si 4.9584 8.4998 0.0000
Si 5.1821 5.1821 1.2617
Si 3.3461 1.8360 1.3712
Si 8.5282 3.3461 1.3712
Si 1.8360 7.0182 1.3712
Si 7.0182 8.5282 1.3712
Si 0.0000 0.0000 1.4807
Si 7.0465 0.2238 2.7424
Si 0.2238 3.3177 2.7424
Si 10.1405 7.0465 2.7424
Si 3.3177 10.1405 2.7424
Si 0.0000 0.0000 4.0042
Si 3.3461 1.8360 4.1137
Si 8.5282 3.3461 4.1137
Si 1.8360 7.0182 4.1137
Si 7.0182 8.5282 4.1137
Si 5.1821 5.1821 4.2232
Tb 7.9194 0.7227 0.0000
Tb 0.7227 2.4448 0.0000
Tb 9.6415 7.9194 0.0000
Tb 2.4448 9.6415 0.0000
Tb 5.9048 2.7373 2.7424
Tb 2.7373 4.4594 2.7424
Tb 7.6269 5.9048 2.7424
Tb 4.4594 7.6269 2.7424
CELL_PARAMETERS angstrom
10.3642 0.0000 0.0000
0.0000 10.3642 0.0000
0.0000 0.0000 5.4849
```

Here is a relaxed structure of TbFeSi from OQMD. Energies are from PBE. Values from VASP.

Properties
crystal system: cubic

The structure in Quantum ESPRESSO input format:
```
&SYSTEM
  ibrav = 0, nat = 3, ntyp = 3
/
ATOMIC_SPECIES
Fe 55.84 Fe.upf
Si 28.09 Si.upf
Tb 158.93 Tb.upf
ATOMIC_POSITIONS angstrom
Fe -0.3449 -1.5498 2.2174
Si 0.0000 0.0000 0.0000
Tb -1.0348 -4.6495 6.6521
CELL_PARAMETERS angstrom
1.6656 -3.3867 2.3644
-0.3017 0.0254 4.4432
-2.7437 -2.8381 2.0619
```

Here is a relaxed structure of TbFeSi2 from OQMD. Energies are from PBE. Values from VASP.

Properties
crystal system: monoclinic

The structure in Quantum ESPRESSO input format:
```
&SYSTEM
  ibrav = 0, nat = 8, ntyp = 3
/
ATOMIC_SPECIES
Fe 55.84 Fe.upf
Si 28.09 Si.upf
Tb 158.93 Tb.upf
ATOMIC_POSITIONS angstrom
Fe 1.9097 2.9713 3.0190
Fe 0.5164 0.9904 4.7175
Si 2.1463 2.9713 0.7567
Si -0.1788 2.9713 3.8230
Si 2.6049 0.9904 3.9135
Si 0.2798 0.9904 6.9799
Tb 0.0564 0.9904 1.5934
Tb 2.3697 2.9713 6.1431
CELL_PARAMETERS angstrom
4.2739 0.0000 0.0000
0.0000 3.9617 0.0000
-1.8478 0.0000 7.7365
```

Here is a relaxed structure of TbFeSi2Tc from OQMD. Energies are from PBE. Values from VASP.

Properties
crystal system: tetragonal

The structure in Quantum ESPRESSO input format:
```
&SYSTEM
  ibrav = 0, nat = 5, ntyp = 4
/
ATOMIC_SPECIES
Fe 55.84 Fe.upf
Si 28.09 Si.upf
Tb 158.93 Tb.upf
Tc 98.00 Tc.upf
ATOMIC_POSITIONS angstrom
Fe 0.0000 0.0000 0.0000
Si 0.5980 0.2783 2.2608
Si -1.1496 0.8342 3.9810
Tb -2.0122 -1.4388 2.0016
Tc -3.4054 1.0833 3.3520
CELL_PARAMETERS angstrom
-1.6690 3.0783 4.4713
-5.1418 -0.9117 2.2327
4.5227 -3.0492 -1.5815
```

Here is a relaxed structure of TbTmFe2Si4 from OQMD. Energies are from PBE. Values from VASP.

Properties
crystal system: orthorhombic

The structure in Quantum ESPRESSO input format:
```
&SYSTEM
  ibrav = 0, nat = 8, ntyp = 4
/
ATOMIC_SPECIES
Fe 55.84 Fe.upf
Si 28.09 Si.upf
Tb 158.93 Tb.upf
Tm 168.93 Tm.upf
ATOMIC_POSITIONS angstrom
Fe -1.5756 -3.1521 -0.2466
Fe 1.3777 -13.4462 1.3855
Si -1.8029 -0.9331 -0.4752
Si 0.4206 -4.1048 0.4229
Si -0.6167 -12.5106 0.7177
Si 1.6024 -15.6400 1.6115
Tb 1.0185 -9.9405 1.0242
Tm -1.2184 -6.6381 0.1126
CELL_PARAMETERS angstrom
-3.7462 -0.4963 -1.0916
1.4140 -8.3100 -1.0744
0.2605 -8.0332 2.7584
```

no.,calculated density (g cm⁻³),E (eV per cell)
1,8.87,-30.64
2,11.09,-37.75
3,10.50,-35.92
4,8.96,-30.65
5,6.77,-47.28
6,9.91,-26.44
7,10.06,-26.64
8,7.06,-272.99
9,6.46,-18.56
10,6.87,-53.38
11,7.58,-37.30
12,7.03,-52.24